No. 1
ZrPt6Rh3 | PBE-GGA | optimized geometry

As for the symmetry: P2_1 (4). The crystal system is monoclinic. The raw total energy is -138.39 eV for the cell shown.

POSCAR file:
```
ZrPt6Rh3
1.0
-3.8406 1.6766 2.9289
-6.1183 -2.2833 -6.7156
1.3530 -5.4223 4.8780
Zr Pt Rh
2 12 6
Cartesian
-3.7162 -3.4282 5.7083
-6.5467 -1.8774 -3.3533
-3.8510 -3.7694 -1.4960
-5.0813 -4.6265 0.6785
-3.9111 -1.0304 -2.3341
-2.7830 -1.2606 4.0677
-6.1713 -6.6355 -0.9466
-2.1574 -3.8542 3.4897
-8.0676 -1.4680 -1.1636
-3.3951 1.0258 2.7705
-6.0827 -4.6550 -2.7783
-4.6718 -5.0086 3.4080
-1.8029 -2.1541 -0.9002
-4.0360 -2.5734 2.0390
-7.5021 -4.2346 -0.3826
-3.3923 -6.2701 -0.5955
-2.3063 -4.3025 0.8076
-5.5574 -2.0505 -0.2822
-1.3939 -1.6678 1.6952
-3.5200 -0.4983 0.3953
```


No. 2
Zr2Pt9Rh | PBE-GGA | optimized geometry

As for the symmetry: P4/mmm (123). The crystal system is tetragonal. The raw total energy is -86.90 eV for the cell shown.

POSCAR file:
```
Zr2Pt9Rh
1.0
4.0163 0.0000 0.0000
0.0000 4.0163 0.0000
0.0000 0.0000 12.0707
Zr Pt Rh
2 9 1
Cartesian
0.0000 0.0000 3.9583
0.0000 0.0000 8.1123
2.0082 2.0082 0.0000
2.0082 2.0082 4.0131
2.0082 2.0082 8.0576
2.0082 0.0000 1.9948
2.0082 0.0000 6.0353
2.0082 0.0000 10.0758
0.0000 2.0082 1.9948
0.0000 2.0082 6.0353
0.0000 2.0082 10.0758
0.0000 0.0000 0.0000
```


No. 3
Zr2PtRh | PBE-GGA | optimized geometry

As for the symmetry: F-43m (216). The crystal system is cubic. The raw total energy is -32.96 eV for the cell shown.

POSCAR file:
```
Zr2PtRh
1.0
-0.1022 4.5797 0.7161
-4.0469 2.2622 -0.0353
-1.7453 1.6906 3.9487
Pt Rh Zr
1 1 2
Cartesian
-2.9472 4.2662 2.3147
-4.4208 6.3993 3.4721
0.0000 0.0000 0.0000
-1.4736 2.1331 1.1574
```


No. 4
Zr2PtRh | PBE-GGA | optimized geometry

As for the symmetry: I-42d (122). The crystal system is tetragonal. The raw total energy is -64.65 eV for the cell shown.

POSCAR file:
```
Zr2PtRh
1.0
-1.5604 3.1405 6.4377
-2.4940 -6.4146 2.5247
0.6333 -2.2919 5.4455
Rh Zr Pt
2 4 2
Cartesian
-2.0272 -1.6370 4.4812
-1.9440 -5.1717 6.2257
-1.1152 0.5608 5.6448
-1.6090 -4.1623 3.7998
-1.0670 -3.0022 7.4669
-3.0510 -4.5282 11.9043
0.0000 0.0000 0.0000
-1.4771 -0.3942 8.1822
```


No. 5
Zr7Pt2Rh2 | PBE-GGA | optimized geometry

As for the symmetry: C2/m (12). The offset from the most stable computed form is 315.9 meV/atom. The crystal system is monoclinic.

POSCAR file:
```
Zr7Pt2Rh2
1.0
-4.7653 -0.1578 -3.8800
-2.9754 -4.6395 3.8565
-1.1671 4.2763 4.2575
Zr Pt Rh
7 2 2
Cartesian
-1.3923 0.8747 3.1758
-4.5469 -3.4567 0.8693
-7.5154 -1.3956 1.0581
-4.3608 2.9357 3.3646
0.0000 0.0000 0.0000
-5.1610 -1.3634 3.0364
-3.7467 0.8424 1.1976
-6.3131 1.0303 2.2353
-2.5946 -1.5513 1.9986
-6.7147 -3.5324 2.2939
-2.1930 3.0114 1.9400
```


No. 6
Zr2PtRh | PBE-GGA | optimized geometry

As for the symmetry: R3m (160). The crystal system is trigonal. The raw total energy is -31.55 eV for the cell shown.

POSCAR file:
```
Zr2PtRh
1.0
9.1343 0.0297 0.0175
8.5813 3.1301 0.0175
8.5813 1.5306 2.7304
Pt Rh Zr
1 1 2
Cartesian
13.1367 2.3431 1.3815
19.6670 3.5078 2.0682
0.2119 0.0378 0.0223
6.4298 1.1468 0.6762
```